Material: Ho3In2Ag
Method: DFT, PBE-GGA
State: relaxed

abc: 3.5560 3.5560 12.0532
angles: 90.00 90.00 90.00
Closest atoms and distances in Å follow each position.
Fractional coordinates of all 6 atoms:
Ho  0.0000  0.0000  0.0000  8 In 3.28, 4 Ho 3.56
Ho  0.0000  0.0000  0.3467  4 Ag 3.12, 4 In 3.26
Ho  0.0000  0.0000  0.6533  4 Ag 3.12, 4 In 3.26
In  0.5000  0.5000  0.1744  8 Ho 3.26-3.28, 4 In 3.56
In  0.5000  0.5000  0.8256  8 Ho 3.26-3.28, 4 In 3.56
Ag  0.5000  0.5000  0.5000  8 Ho 3.12

Its crystal system is tetragonal. Its volume is 25.4 A^3/atom. As for the formation enthalpy at 0 K: -41 kJ per mole of atoms.